Record 1
# PBE SnGeBi2Te, relaxed
# Space group: P4/mmm, No. 123
# Calculated density in g/cm3: 6.4
# E in eV/atom: -3.08
# M_tot in μB per formula unit: 0.00
data_SnGeBi2Te
_cell_length_a 5.793
_cell_length_b 5.793
_cell_length_c 5.658
_cell_angle_alpha 90.00
_cell_angle_beta 90.00
_cell_angle_gamma 90.00
_symmetry_space_group_name_H-M 'P 1'
_symmetry_Int_Tables_number 1
_symmetry_space_group_name_Hall 'P 1'
loop_
_atom_site_label
_atom_site_fract_x
_atom_site_fract_y
_atom_site_fract_z
Sn1 0.000 0.000 0.000
Ge1 0.500 0.500 0.500
Bi1 0.000 0.500 0.000
Bi2 0.500 0.000 0.000
Te1 0.000 0.000 0.500

---

Record 2
# PBE Pr8AsRu3Br4, relaxed
# Space group: R-3m, No. 166
# Calculated density in g/cm3: 6.3
# E in eV/atom: -5.75
# M_tot in μB per formula unit: 0.00
data_Pr8AsRu3Br4
_cell_length_a 9.165
_cell_length_b 9.165
_cell_length_c 9.165
_cell_angle_alpha 54.76
_cell_angle_beta 54.76
_cell_angle_gamma 54.76
_symmetry_space_group_name_H-M 'P 1'
_symmetry_Int_Tables_number 1
_symmetry_space_group_name_Hall 'P 1'
loop_
_atom_site_label
_atom_site_fract_x
_atom_site_fract_y
_atom_site_fract_z
Pr1 0.216 0.739 0.739
Pr2 0.235 0.235 0.235
Pr3 0.261 0.261 0.784
Pr4 0.261 0.784 0.261
Pr5 0.739 0.216 0.739
Pr6 0.739 0.739 0.216
Pr7 0.765 0.765 0.765
Pr8 0.784 0.261 0.261
As1 0.500 0.500 0.500
Ru1 0.000 0.000 0.500
Ru2 0.000 0.500 0.000
Ru3 0.500 0.000 0.000
Br1 0.000 0.000 0.000
Br2 0.000 0.500 0.500
Br3 0.500 0.000 0.500
Br4 0.500 0.500 0.000

---

Record 3
# PBE Pa3GeRu4, relaxed
# Space group: Imm2, No. 44
# Calculated density in g/cm3: 12.7
# E in eV/atom: -9.20
# M_tot in μB per formula unit: 0.00
data_Pa3GeRu4
_cell_length_a 6.130
_cell_length_b 6.130
_cell_length_c 6.130
_cell_angle_alpha 124.71
_cell_angle_beta 84.03
_cell_angle_gamma 122.32
_symmetry_space_group_name_H-M 'P 1'
_symmetry_Int_Tables_number 1
_symmetry_space_group_name_Hall 'P 1'
loop_
_atom_site_label
_atom_site_fract_x
_atom_site_fract_y
_atom_site_fract_z
Pa1 0.000 0.000 0.000
Pa2 0.017 0.723 0.294
Pa3 0.430 0.723 0.706
Ge1 0.828 0.328 0.500
Ru1 0.461 0.225 0.237
Ru2 0.477 0.231 0.754
Ru3 0.477 0.723 0.246
Ru4 0.988 0.225 0.763